[1]
First-principles (PBE) data for a relaxed structure of AlTlIn2, as listed in Alexandria.

Calculated values
**E above lowest polymorph**: 7.4 kJ per mole of atoms

Cell and atoms, written as extended XYZ:
```
4
Lattice="-2.363 2.363 4.606 2.363 -2.363 4.606 2.363 2.363 -4.606" Properties=species:S:1:pos:R:3 pbc="T T T"
Al 0.000 0.000 0.000
Tl 0.000 2.363 2.303
In 2.363 0.000 2.303
In 0.000 0.000 4.606
```

[2]
First-principles (PBE) data for a relaxed structure of NbV3N, as listed in Alexandria.

Calculated values
**E above lowest polymorph**: 2.1 kJ per mole of atoms
**Raw formation energy**: -0.46 eV per atom

Cell and atoms, written as extended XYZ:
```
5
Lattice="4.008 0.000 0.000 0.000 4.008 0.000 0.000 0.000 4.008" Properties=species:S:1:pos:R:3 pbc="T T T"
Nb 0.000 0.000 0.000
V 0.000 2.004 2.004
V 2.004 0.000 2.004
V 2.004 2.004 0.000
N 2.004 2.004 2.004
```

[3]
First-principles (PBE) data for a relaxed structure of LiCd3Pd2, as listed in Alexandria.

Calculated values
**E above lowest polymorph**: 6.0 kJ per mole of atoms

Cell and atoms, written as extended XYZ:
```
12
Lattice="6.797 -2.781 0.000 6.797 2.781 0.000 -1.344 0.000 5.800" Properties=species:S:1:pos:R:3 pbc="T T T"
Li 5.789 1.455 4.350
Li 6.461 -1.455 1.450
Cd 6.461 1.342 1.450
Cd 3.808 0.050 2.432
Cd 3.136 -0.050 5.332
Cd 9.113 0.050 0.468
Cd 8.441 -0.050 3.367
Cd 5.789 -1.342 4.350
Pd 1.825 0.036 0.447
Pd 1.153 -0.036 3.347
Pd 11.096 0.036 2.453
Pd 10.424 -0.036 5.353
```

[4]
First-principles (PBE) data for a relaxed structure of PrNdCuSe4, as listed in Alexandria.

Calculated values
**Raw formation energy**: -1.39 eV per atom

Cell and atoms, written as extended XYZ:
```
14
Lattice="7.189 0.000 0.000 0.000 5.902 0.000 -2.447 0.000 8.028" Properties=species:S:1:pos:R:3 pbc="T T T"
Pr 0.652 1.476 3.477
Pr 4.091 4.427 4.551
Nd -0.621 1.476 7.496
Nd 5.363 4.427 0.532
Cu 1.259 4.427 1.482
Cu 3.483 1.476 6.546
Se -0.434 4.427 3.175
Se -1.633 4.427 7.157
Se 1.677 3.004 6.004
Se 1.677 5.849 6.004
Se 3.065 0.053 2.024
Se 3.065 2.898 2.024
Se 6.375 1.476 0.871
Se 5.176 1.476 4.853
```

[5]
First-principles (PBE) data for a relaxed structure of NdZrScAl, as listed in Alexandria.

Calculated values
**Total energy**: -23.6 eV for the cell shown

Cell and atoms, written as extended XYZ:
```
4
Lattice="0.000 3.622 3.622 3.622 0.000 3.622 3.622 3.622 0.000" Properties=species:S:1:pos:R:3 pbc="T T T"
Nd 0.000 0.000 0.000
Zr 3.622 3.622 3.622
Sc 5.433 5.433 5.433
Al 1.811 1.811 1.811
```

[6]
First-principles (PBE) data for a relaxed structure of KBe2NbBi, as listed in Alexandria.

Calculated values
**Total energy**: -15.1 eV for the cell shown

Cell and atoms, written as extended XYZ:
```
5
Lattice="4.761 0.000 0.000 0.000 4.761 0.000 0.000 0.000 5.280" Properties=species:S:1:pos:R:3 pbc="T T T"
K 0.000 0.000 0.000
Be 0.000 2.381 2.640
Be 2.381 0.000 2.640
Nb 0.000 0.000 2.640
Bi 2.381 2.381 0.000
```